1.
This record from Alexandria via LeMat-Bulk describes a geometry-optimized NaNi2H2 structure. The functional is PBE.

Structure (POSCAR):
```
NaNi2H2
1.0
6.8199 0.0000 0.0000
0.0000 6.8199 0.0000
0.0000 0.0000 2.4297
H Na Ni
4 2 4
Direct
0.4073 0.0927 0.5000
0.5927 0.9073 0.5000
0.0927 0.5927 0.5000
0.9073 0.4073 0.5000
0.0000 0.0000 0.0000
0.5000 0.5000 0.0000
0.3860 0.8860 0.0000
0.8860 0.6140 0.0000
0.6140 0.1140 0.0000
0.1140 0.3860 0.0000
```

Output
DFT total energy	-3.44	eV per atom
magnetization	0.357	μB/cell
DOS(E_F)	0.374	states/eV/atom


2.
This record from Alexandria via LeMat-Bulk describes a geometry-optimized Na4NiH6 structure. The functional is PBE.

Structure (POSCAR):
```
Na4NiH6
1.0
6.4921 0.0000 0.0000
0.0000 6.4921 0.0000
0.0000 0.0000 6.5968
H Na Ni
12 8 2
Direct
0.5642 0.2454 0.0000
0.7546 0.5642 0.0000
0.0642 0.2546 0.5000
0.0000 0.0000 0.2566
0.2454 0.4358 0.0000
0.5000 0.5000 0.7566
0.0000 0.0000 0.7434
0.9358 0.7454 0.5000
0.7454 0.0642 0.5000
0.5000 0.5000 0.2434
0.2546 0.9358 0.5000
0.4358 0.7546 0.0000
0.6844 0.8156 0.2500
0.3156 0.1844 0.2500
0.3156 0.1844 0.7500
0.8156 0.3156 0.7500
0.6844 0.8156 0.7500
0.1844 0.6844 0.2500
0.1844 0.6844 0.7500
0.8156 0.3156 0.2500
0.5000 0.5000 0.0000
0.0000 0.0000 0.5000
```

Output
DFT total energy	-2.93	eV per atom
magnetization	0.000	μB/cell
DOS(E_F)	0.308	states/eV/atom


3.
This record from Alexandria via LeMat-Bulk describes a geometry-optimized Na3NiH8 structure. The functional is PBE.

Structure (POSCAR):
```
Na3NiH8
1.0
-0.8938 0.0457 4.7571
4.5764 -1.3140 0.8725
-0.4695 5.5515 -2.6043
H Na Ni
8 3 1
Direct
0.7136 0.7136 0.8145
0.8991 0.2864 0.1855
0.2864 0.2864 0.1855
0.8991 0.8991 0.1855
0.2864 0.8991 0.1855
0.1009 0.7136 0.8145
0.7136 0.1009 0.8145
0.1009 0.1009 0.8145
0.2500 0.7500 0.5000
0.5000 0.5000 0.0000
0.7500 0.2500 0.5000
0.0000 0.0000 0.0000
```

Output
DFT total energy	-2.85	eV per atom
magnetization	0.000	μB/cell
DOS(E_F)	0.327	states/eV/atom


4.
This record from Alexandria via LeMat-Bulk describes a geometry-optimized Na4NiH4 structure. The functional is PBE.

Structure (POSCAR):
```
Na4NiH4
1.0
-4.7739 -0.1098 0.0903
-2.2486 -4.9562 1.3992
-2.3254 1.3012 4.9475
Na H Ni
4 4 1
Direct
0.3861 0.8323 0.3955
0.7816 0.6045 0.8323
0.6139 0.1677 0.6045
0.2184 0.3955 0.1677
0.9439 0.8379 0.2743
0.0561 0.1621 0.7257
0.7818 0.2743 0.1621
0.2182 0.7257 0.8379
0.0000 0.0000 0.0000
```

Output
DFT total energy	-2.78	eV per atom
magnetization	0.001	μB/cell
DOS(E_F)	0.243	states/eV/atom


5.
This record from Alexandria via LeMat-Bulk describes a geometry-optimized Na2NiH structure. The functional is PBE.

Structure (POSCAR):
```
Na2NiH
1.0
-4.6361 4.3965 1.2361
-2.8515 -4.1625 4.1102
-1.6935 1.4887 5.4847
Na H Ni
4 2 2
Direct
0.2188 0.6250 0.2500
0.3750 0.4688 0.7500
0.5312 0.1250 0.2500
0.8750 0.7812 0.7500
0.2500 0.7500 0.5000
0.5000 0.5000 0.0000
0.7500 0.2500 0.5000
0.0000 0.0000 0.0000
```

Output
DFT total energy	-2.39	eV per atom
magnetization	1.699	μB/cell
DOS(E_F)	2.578	states/eV/atom


6.
This record from Alexandria via LeMat-Bulk describes a geometry-optimized Na3Ni5H12 structure. The functional is PBE.

Structure (POSCAR):
```
Na3Ni5H12
1.0
9.4857 0.0000 0.0000
-3.1619 8.9432 0.0000
-3.1619 -4.4716 7.7450
H Ni Na
48 20 12
Direct
0.4242 0.1030 0.5970
0.9242 0.8272 0.8212
0.8970 0.5758 0.9030
0.8212 0.4940 0.3970
0.1030 0.4242 0.0970
0.6030 0.5970 0.9242
0.8970 0.3212 0.4940
0.6788 0.5758 0.1728
0.4030 0.0060 0.3272
0.8212 0.3272 0.9242
0.8272 0.9030 0.0060
0.0060 0.4030 0.8272
0.6788 0.1030 0.0060
0.9030 0.8272 0.5060
0.1728 0.0970 0.9940
0.1728 0.0758 0.6788
0.1788 0.6728 0.0758
0.8272 0.9242 0.3212
0.4242 0.3212 0.3272
0.9030 0.0758 0.8970
0.5970 0.6030 0.4242
0.3272 0.5060 0.4030
0.6728 0.4940 0.5970
0.9242 0.0970 0.6030
0.1030 0.6788 0.5060
0.4940 0.6728 0.0970
0.9940 0.3970 0.3212
0.3970 0.4030 0.0758
0.6728 0.1788 0.5758
0.6030 0.0060 0.1788
0.0970 0.9242 0.1030
0.5970 0.9940 0.6728
0.4030 0.3970 0.5758
0.0060 0.6030 0.6788
0.0970 0.1728 0.4940
0.3212 0.4242 0.8272
0.3272 0.8212 0.4242
0.0758 0.9030 0.3970
0.5060 0.3272 0.9030
0.5758 0.6788 0.6728
0.5060 0.1788 0.1030
0.9940 0.5970 0.1728
0.0758 0.1728 0.1788
0.3970 0.9940 0.8212
0.3212 0.8970 0.9940
0.4940 0.8212 0.8970
0.5758 0.8970 0.4030
0.1788 0.5060 0.6030
0.0000 0.0000 0.0000
0.0000 0.5000 0.0000
0.3750 0.1250 0.7500
0.1250 0.3750 0.2500
0.5000 0.5000 0.0000
0.6250 0.8750 0.2500
0.8750 0.6250 0.7500
0.7500 0.6250 0.3750
0.5000 0.5000 0.5000
0.5000 0.0000 0.5000
0.8750 0.2500 0.6250
0.1250 0.7500 0.3750
0.7500 0.1250 0.8750
0.6250 0.7500 0.8750
0.0000 0.0000 0.5000
0.5000 0.0000 0.0000
0.3750 0.2500 0.1250
0.2500 0.3750 0.6250
0.0000 0.5000 0.5000
0.2500 0.8750 0.1250
0.6250 0.2500 0.3750
0.3750 0.7500 0.6250
0.8750 0.1250 0.2500
0.6250 0.3750 0.7500
0.1250 0.8750 0.7500
0.1250 0.2500 0.8750
0.7500 0.3750 0.1250
0.2500 0.6250 0.8750
0.7500 0.8750 0.6250
0.8750 0.7500 0.1250
0.3750 0.6250 0.2500
0.2500 0.1250 0.3750
```

Output
DFT total energy	-3.65	eV per atom
magnetization	3.700	μB/cell
DOS(E_F)	0.224	states/eV/atom


7.
This record from Alexandria via LeMat-Bulk describes a geometry-optimized NaNiH structure. The functional is PBE.

Structure (POSCAR):
```
NaNiH
1.0
3.4402 0.0000 0.0000
0.0000 3.4402 0.0000
0.0000 0.0000 7.9719
Ni H Na
2 2 2
Direct
0.0000 0.0000 0.5000
0.5000 0.5000 0.5000
0.5000 0.0000 0.5406
0.0000 0.5000 0.4594
0.0000 0.5000 0.8045
0.5000 0.0000 0.1955
```

Output
DFT total energy	-3.48	eV per atom
magnetization	0.000	μB/cell
DOS(E_F)	0.138	states/eV/atom


8.
This record from Alexandria via LeMat-Bulk describes a geometry-optimized NaNi2H6 structure. The functional is PBE.

Structure (POSCAR):
```
NaNi2H6
1.0
-1.2818 2.4051 -3.4659
-3.0107 -1.9779 2.5423
-4.5038 4.2100 1.7752
H Ni Na
6 2 1
Direct
0.4148 0.3114 0.6884
0.8114 0.9148 0.6884
0.1886 0.0852 0.3116
0.2086 0.7086 0.6903
0.5852 0.6886 0.3116
0.7914 0.2914 0.3097
0.6666 0.8334 0.5000
0.3334 0.1666 0.5000
0.5000 0.0000 0.0000
```

Output
DFT total energy	-3.73	eV per atom
magnetization	0.000	μB/cell
DOS(E_F)	0.232	states/eV/atom